5
Lattice="-4.436 -0.383 -0.664 0.672 -3.648 -2.381 -0.343 -2.498 3.730" Properties=species:S:1:pos:R:3 comment="VPbNF2 (GGA+U, relaxed)" de_polymorph_kj_per_mol_atoms=108.8 dos_at_fermi_per_ev_atom=0.592 pbc="T T T"
Pb 0.000 0.000 0.000
N 0.336 -1.824 -1.191
F -0.172 -1.249 1.865
F -2.218 -0.191 -0.332
V -2.054 -3.264 0.342